Entry from the Alexandria database: crystalline TaMn2Pb at its relaxed geometry (GGA-PBEsol).

Values from the calculation:
* spin magnetization: 1.27 μB per atom
* ΔE_f: 0.61 eV/atom
* raw total energy: -8.412 eV per atom

Cell lengths 6.3850, 6.3850, 6.3850 Å; angles 90.00, 90.00, 90.00 degrees
Space group F-43m (No. 216)
Unique sites:
Ta1 0.0000 0.0000 0.0000
Mn1 0.0000 0.0000 0.5000
Mn2 0.2500 0.2500 0.7500
Pb1 0.2500 0.2500 0.2500

***

Entry from the Alexandria database: crystalline Sm3In at its relaxed geometry (GGA-PBEsol).

Values from the calculation:
* spin magnetization: 0.00 μB per atom
* ΔE_f: -0.32 eV/atom
* excess energy over the best structure of this formula in the dataset: 0 meV per atom
* raw total energy: -4.881 eV per atom

Cell lengths 4.8328, 4.8328, 4.8328 Å; angles 90.00, 90.00, 90.00 degrees
Space group Pm-3m (No. 221)
Unique sites:
Sm1 0.0000 0.0000 0.5000
In1 0.5000 0.5000 0.5000

***

Entry from the Alexandria database: crystalline BiH2Se at its relaxed geometry (GGA-PBEsol).

Values from the calculation:
* spin magnetization: 0.00 μB per atom
* excess energy over the best structure of this formula in the dataset: 143 meV per atom
* raw total energy: -3.100 eV per atom

Cell lengths 6.0160, 6.0160, 6.0160 Å; angles 90.00, 90.00, 90.00 degrees
Space group Fm-3m (No. 225)
Unique sites:
Bi1 0.0000 0.0000 0.0000
H1 0.2500 0.2500 0.2500
Se1 0.0000 0.0000 0.5000